(1)
This record from the Alexandria database describes a geometry-optimized CdGa2Ni structure. The functional is PBE.

Summary:
crystal system: tetragonal
electronic total energy: -3.272 eV per atom
space-group type: P4/mmm, No. 123
density of states at the Fermi level: 2.10 states/eV/cell
magnetization: 0.00 Bohr magnetons per cell

extended XYZ file:
```
4
Lattice="2.886 0.000 0.000 0.000 2.886 0.000 0.000 0.000 8.061" Properties=species:S:1:pos:R:3 pbc="T T T"
Cd 0.000 0.000 0.000
Ga 1.443 1.443 2.491
Ga 1.443 1.443 5.570
Ni 0.000 0.000 4.031
```


(2)
This record from the Alexandria database describes a geometry-optimized CdGaNi structure. The functional is PBE.

Summary:
crystal system: tetragonal
electronic total energy: -3.324 eV per atom
space-group type: I4mm, No. 107
density of states at the Fermi level: 1.49 states/eV/cell
magnetization: 0.00 Bohr magnetons per cell

extended XYZ file:
```
3
Lattice="-1.514 1.514 5.223 1.514 -1.514 5.223 1.514 1.514 -5.223" Properties=species:S:1:pos:R:3 pbc="T T T"
Cd 0.000 0.000 0.000
Ga 0.000 0.000 3.025
Ni 0.000 0.000 7.055
```


(3)
This record from the Alexandria database describes a geometry-optimized CdGaNi2 structure. The functional is PBE.

Summary:
crystal system: tetragonal
E above lowest polymorph: 0.0990 eV per atom
space-group type: P4/mmm, No. 123
density of states at the Fermi level: 2.80 states/eV/cell
magnetization: 0.00 Bohr magnetons per cell

extended XYZ file:
```
4
Lattice="4.312 0.000 0.000 0.000 4.312 0.000 0.000 0.000 2.998" Properties=species:S:1:pos:R:3 pbc="T T T"
Cd 0.000 0.000 0.000
Ga 2.156 2.156 0.000
Ni 0.000 2.156 1.499
Ni 2.156 0.000 1.499
```


(4)
This record from the Alexandria database describes a geometry-optimized CdGa2Ni structure. The functional is PBE.

Summary:
crystal system: tetragonal
electronic total energy: -3.102 eV per atom
space-group type: I-42d, No. 122
density of states at the Fermi level: 4.80 states/eV/cell
magnetization: 0.00 Bohr magnetons per cell

extended XYZ file:
```
8
Lattice="-2.037 2.037 8.706 2.037 -2.037 8.706 2.037 2.037 -8.706" Properties=species:S:1:pos:R:3 pbc="T T T"
Cd 0.000 0.000 0.000
Cd 0.000 2.037 4.353
Ga 1.018 -0.813 6.529
Ga 1.224 1.018 2.176
Ga 1.018 2.850 -2.176
Ga 0.813 1.018 10.882
Ni 2.037 0.000 4.353
Ni 0.000 0.000 8.706
```


(5)
This record from the Alexandria database describes a geometry-optimized CdGaNi2 structure. The functional is PBE.

Summary:
crystal system: tetragonal
E above lowest polymorph: 0.4631 eV per atom
space-group type: I-42d, No. 122
density of states at the Fermi level: 4.50 states/eV/cell
magnetization: 0.00 Bohr magnetons per cell

extended XYZ file:
```
8
Lattice="-1.972 1.972 8.450 1.972 -1.972 8.450 1.972 1.972 -8.450" Properties=species:S:1:pos:R:3 pbc="T T T"
Cd 0.000 0.000 0.000
Cd 0.000 1.972 4.225
Ga 1.972 0.000 4.225
Ga 0.000 0.000 8.450
Ni 0.986 -0.706 6.337
Ni 1.265 0.986 2.112
Ni 0.986 2.678 -2.112
Ni 0.706 0.986 10.562
```


(6)
This record from the Alexandria database describes a geometry-optimized Cd2Ga2Ni structure. The functional is PBE.

Summary:
crystal system: tetragonal
E above lowest polymorph: 0.0000 eV per atom
space-group type: P4/mbm, No. 127
density of states at the Fermi level: 3.93 states/eV/cell
magnetization: 0.00 Bohr magnetons per cell

extended XYZ file:
```
10
Lattice="6.440 0.000 0.000 0.000 6.440 0.000 0.000 0.000 4.459" Properties=species:S:1:pos:R:3 pbc="T T T"
Cd 1.111 2.109 0.000
Cd 2.109 5.328 0.000
Cd 4.331 1.111 0.000
Cd 5.328 4.331 0.000
Ga 0.945 4.165 2.230
Ga 2.274 0.945 2.230
Ga 4.165 5.494 2.230
Ga 5.494 2.274 2.230
Ni 0.000 0.000 2.230
Ni 3.220 3.220 2.230
```


(7)
This record from the Alexandria database describes a geometry-optimized CdGaNi3 structure. The functional is PBE.

Summary:
crystal system: cubic
E above lowest polymorph: 0.0000 eV per atom
space-group type: Pm-3m, No. 221
density of states at the Fermi level: 3.75 states/eV/cell
magnetization: 0.00 Bohr magnetons per cell

extended XYZ file:
```
5
Lattice="4.355 0.000 0.000 0.000 4.355 0.000 0.000 0.000 4.355" Properties=species:S:1:pos:R:3 pbc="T T T"
Cd 0.000 0.000 0.000
Ga 2.177 2.177 2.177
Ni 0.000 2.177 2.177
Ni 2.177 0.000 2.177
Ni 2.177 2.177 0.000
```


What did the second record say?
This record from the Alexandria database describes a geometry-optimized CdGaNi structure. The functional is PBE.

Summary:
crystal system: tetragonal
electronic total energy: -3.324 eV per atom
space-group type: I4mm, No. 107
density of states at the Fermi level: 1.49 states/eV/cell
magnetization: 0.00 Bohr magnetons per cell

extended XYZ file:
```
3
Lattice="-1.514 1.514 5.223 1.514 -1.514 5.223 1.514 1.514 -5.223" Properties=species:S:1:pos:R:3 pbc="T T T"
Cd 0.000 0.000 0.000
Ga 0.000 0.000 3.025
Ni 0.000 0.000 7.055
```


Q: Look up the density of states at the Fermi level of the third one.
A: 2.80 states/eV/cell